No. 1
# OsWSe2

Crystalline OsWSe2 at its relaxed geometry (GGA-PBE, Alexandria).

Cell and atoms, written as POSCAR:
```
OsWSe2
1.0
4.558 0.000 0.000
2.279 3.947 0.000
2.279 1.316 3.722
Os Se W
1 2 1
Direct
0.500 0.500 0.500 Os
0.750 0.750 0.750 Se
0.000 0.000 0.000 Se
0.250 0.250 0.250 W
```

Results
- Magnetization: 0.0 μB/cell
- Symmetry: No. 216
- Total energy: -0.5013 Ry/atom
- ΔE_f (raw): 0.97 eV/atom
- Density: 13.192 Mg/m³

No. 2
# Os3WSe

Crystalline Os3WSe at its relaxed geometry (GGA-PBE, Alexandria).

Cell and atoms, written as POSCAR:
```
Os3WSe
1.0
4.753 0.000 0.000
0.000 4.753 0.000
0.000 0.000 4.753
Os W Se
3 1 1
Direct
0.000 0.500 0.000 Os
0.000 0.000 0.500 Os
0.500 0.000 0.000 Os
0.000 0.000 0.000 W
0.500 0.500 0.500 Se
```

Results
- Magnetization: 2.4 μB/cell
- Symmetry: No. 221
- Total energy: -0.5560 Ry/atom
- ΔE_f (raw): 2.46 eV/atom
- Density: 12.890 Mg/m³

No. 3
# OsW2Se

Crystalline OsW2Se at its relaxed geometry (GGA-PBE, Alexandria).

Cell and atoms, written as POSCAR:
```
OsW2Se
1.0
2.895 0.000 0.000
0.000 4.071 0.000
0.000 0.000 5.377
Os W Se
1 2 1
Direct
0.500 0.500 0.250 Os
0.000 0.000 0.009 W
0.000 0.000 0.491 W
0.500 0.500 0.750 Se
```

Results
- Magnetization: 0.0 μB/cell
- Symmetry: No. 47
- Total energy: -0.7081 Ry/atom
- ΔE_f (raw): 0.52 eV/atom
- Density: 16.690 Mg/m³

> What is the formula in the third record?

OsW2Se

What did the first record say?
# OsWSe2

Crystalline OsWSe2 at its relaxed geometry (GGA-PBE, Alexandria).

Cell and atoms, written as POSCAR:
```
OsWSe2
1.0
4.558 0.000 0.000
2.279 3.947 0.000
2.279 1.316 3.722
Os Se W
1 2 1
Direct
0.500 0.500 0.500 Os
0.750 0.750 0.750 Se
0.000 0.000 0.000 Se
0.250 0.250 0.250 W
```

Results
- Magnetization: 0.0 μB/cell
- Symmetry: No. 216
- Total energy: -0.5013 Ry/atom
- ΔE_f (raw): 0.97 eV/atom
- Density: 13.192 Mg/m³